w | A relaxed structure of LaGaHg3, computed with PBE. Values from VASP.

The structure in Quantum ESPRESSO input format:
```
&SYSTEM
  ibrav = 0, nat = 5, ntyp = 3
/
ATOMIC_SPECIES
La 138.91 La.upf
Ga 69.72 Ga.upf
Hg 200.59 Hg.upf
ATOMIC_POSITIONS angstrom
La 0.0000 0.0000 0.0000
Ga 2.5920 2.5920 2.5920
Hg 0.0000 2.5920 2.5920
Hg 2.5920 0.0000 2.5920
Hg 2.5920 2.5920 0.0000
CELL_PARAMETERS angstrom
5.1841 0.0000 0.0000
0.0000 5.1841 0.0000
0.0000 0.0000 5.1841
```

Output
* total moment: 0.00 Bohr magnetons per cell
* space group: Pm-3m
* V: 27.86 Å³ per atom

x | A relaxed structure of LaGaHg3, computed with PBE. Values from VASP.

The structure in Quantum ESPRESSO input format:
```
&SYSTEM
  ibrav = 0, nat = 5, ntyp = 3
/
ATOMIC_SPECIES
La 138.91 La.upf
Ga 69.72 Ga.upf
Hg 200.59 Hg.upf
ATOMIC_POSITIONS angstrom
La 0.0000 0.0000 0.0000
Ga 3.2851 0.0000 1.2299
Hg 1.6413 1.6199 2.7204
Hg -0.0053 0.0000 4.5278
Hg 1.6413 -1.6199 2.7204
CELL_PARAMETERS angstrom
3.2615 -3.2615 0.0000
3.2615 3.2615 0.0000
-3.2534 0.0000 5.8642
```

Output
* total moment: 0.00 Bohr magnetons per cell
* space group: Cm
* V: 24.95 Å³ per atom

Quick one: least stable of them? w

w | A relaxed structure of LaNdGaHg, computed with PBE. Values from VASP.

The structure in Quantum ESPRESSO input format:
```
&SYSTEM
  ibrav = 0, nat = 4, ntyp = 4
/
ATOMIC_SPECIES
La 138.91 La.upf
Nd 144.24 Nd.upf
Ga 69.72 Ga.upf
Hg 200.59 Hg.upf
ATOMIC_POSITIONS angstrom
La 0.0000 0.0000 0.0000
Nd 0.0000 0.0000 3.6889
Ga 1.8697 1.8697 1.8911
Hg 1.8697 1.8697 5.6706
CELL_PARAMETERS angstrom
3.7395 0.0000 0.0000
0.0000 3.7395 0.0000
0.0000 0.0000 7.8612
```

Output
* total moment: 0.00 Bohr magnetons per cell
* space group: P4mm
* V: 27.48 Å³ per atom

x | A relaxed structure of LaNdGaHg, computed with PBE. Values from VASP.

The structure in Quantum ESPRESSO input format:
```
&SYSTEM
  ibrav = 0, nat = 4, ntyp = 4
/
ATOMIC_SPECIES
La 138.91 La.upf
Nd 144.24 Nd.upf
Ga 69.72 Ga.upf
Hg 200.59 Hg.upf
ATOMIC_POSITIONS angstrom
La 0.0000 0.0000 0.0000
Nd 3.8193 3.8193 3.8193
Ga 5.7289 5.7289 5.7289
Hg 1.9096 1.9096 1.9096
CELL_PARAMETERS angstrom
0.0000 3.8193 3.8193
3.8193 0.0000 3.8193
3.8193 3.8193 0.0000
```

Output
* total moment: 0.46 Bohr magnetons per cell
* space group: F-43m
* V: 27.86 Å³ per atom

Quick one: least stable of them? x

w | A relaxed structure of LaPmGaHg, computed with PBE. Values from VASP.

The structure in Quantum ESPRESSO input format:
```
&SYSTEM
  ibrav = 0, nat = 4, ntyp = 4
/
ATOMIC_SPECIES
La 138.91 La.upf
Pm 145.00 Pm.upf
Ga 69.72 Ga.upf
Hg 200.59 Hg.upf
ATOMIC_POSITIONS angstrom
La 0.0000 0.0000 0.0000
Pm 0.0000 0.0000 3.6718
Ga 1.8634 1.8634 1.9001
Hg 1.8634 1.8634 5.6124
CELL_PARAMETERS angstrom
3.7267 0.0000 0.0000
0.0000 3.7267 0.0000
0.0000 0.0000 7.8311
```

Output
* total moment: 0.00 Bohr magnetons per cell
* space group: P4mm
* V: 27.19 Å³ per atom

x | A relaxed structure of LaPmGaHg, computed with PBE. Values from VASP.

The structure in Quantum ESPRESSO input format:
```
&SYSTEM
  ibrav = 0, nat = 4, ntyp = 4
/
ATOMIC_SPECIES
La 138.91 La.upf
Pm 145.00 Pm.upf
Ga 69.72 Ga.upf
Hg 200.59 Hg.upf
ATOMIC_POSITIONS angstrom
La 0.0000 0.0000 0.0000
Pm 3.8074 3.8074 3.8074
Ga 1.9037 1.9037 1.9037
Hg 5.7111 5.7111 5.7111
CELL_PARAMETERS angstrom
0.0000 3.8074 3.8074
3.8074 0.0000 3.8074
3.8074 3.8074 0.0000
```

Output
* total moment: 0.46 Bohr magnetons per cell
* space group: F-43m
* V: 27.60 Å³ per atom

Quick one: least stable of them? x